Below is an optimized crystal structure of CsLi3Pb, with properties calculated at the PBE level.

The energy above the most stable polymorph in this dataset is 0.00 kJ per mole of atoms. The value obtained for the density of states at the Fermi level is 0.00 states/eV/atom. As for the energy of formation: -0.163 eV per atom.

The structure belongs to space group Pm-3m (No. 221); the cell edges are 5.5194, 5.5194 and 5.5194 Å and the angles 90.00°, 90.00° and 90.00°. The inequivalent atoms are Cs at (0.0000, 0.0000, 0.0000), Li at (0.0000, 0.5000, 0.5000) and Pb at (0.5000, 0.5000, 0.5000).